Computed, not measured: crystalline Y2MnSiPt6 at its relaxed geometry at the GGA-PBE level of DFT.

Properties
The calculation puts the density at 11.85 g/cm³. Its formation energy without anion corrections is -793 meV per atom. For the magnetic moment, the calculation gives 11.8 μB/cell.

a b c (Å): 5.5910 5.5910 22.2173
angles (deg): 90.00 90.00 120.00
Space group R-3m (No. 166, hexagonal axes)
Symmetry-distinct sites (fractional):
Y1 0.0000 0.0000 0.2035 [6 per cell]
Mn1 0.0000 0.0000 0.5000 [3 per cell]
Si1 0.0000 0.0000 0.0000 [3 per cell]
Pt1 0.0048 0.5024 0.2554 [18 per cell]

***

Computed, not measured: crystalline SmH8Pd6 at its relaxed geometry at the GGA-PBE level of DFT.

Properties
The calculation puts the density at 9.04 g/cm³. For the magnetic moment, the calculation gives 0.0 μB/cell. Its total energy is -4.422 eV/atom.

a b c (Å): 8.1129 8.1129 7.7068
angles (deg): 90.00 90.00 120.00
Space group R-3 (No. 148, hexagonal axes)
Symmetry-distinct sites (fractional):
Sm1 0.0000 0.0000 0.0000 [3 per cell]
H1 0.0000 0.0000 0.3153 [6 per cell]
H2 0.0081 0.5918 0.7906 [18 per cell]
Pd1 0.0366 0.7923 0.6634 [18 per cell]

***

Computed, not measured: crystalline NaCuH3 at its relaxed geometry at the GGA-PBE level of DFT.

Properties
The calculation puts the density at 2.57 g/cm³. For the magnetic moment, the calculation gives 0.0 μB/cell. For the excess energy over the best structure of this formula in the dataset, the calculation gives 11.5 meV/atom.

a b c (Å): 4.703 5.370 5.418
angles (deg): 60.34 83.49 76.68
Space group P1 (No. 1)
Symmetry-distinct sites (fractional):
Na1 0.000 0.000 0.000 [1 per cell]
Na2 0.473 0.684 0.640 [1 per cell]
Cu1 0.238 0.327 0.387 [1 per cell]
Cu2 0.739 0.321 0.379 [1 per cell]
H1 0.056 0.109 0.348 [1 per cell]
H2 0.470 0.501 0.128 [1 per cell]
H3 0.492 0.165 0.651 [1 per cell]
H4 0.922 0.538 0.419 [1 per cell]
H5 0.951 0.737 0.739 [1 per cell]
H6 0.966 0.608 0.892 [1 per cell]

***

Q: The highest magnetic moment belongs to which entry?
A: Y2MnSiPt6